## Ag3PtF7 (PBE)

Data for an optimized crystal structure of Ag3PtF7.

The structure in CIF format:
```
data_Ag3PtF7
_cell_length_a 5.6896
_cell_length_b 5.6896
_cell_length_c 6.3437
_cell_angle_alpha 111.74
_cell_angle_beta 111.74
_cell_angle_gamma 86.29
_symmetry_space_group_name_H-M 'P 1'
_symmetry_Int_Tables_number 1
loop_
_symmetry_equiv_pos_as_xyz
'x,y,z'
loop_
_atom_site_label
_atom_site_fract_x
_atom_site_fract_y
_atom_site_fract_z
Ag1 0.0000 0.0000 0.0000
Ag2 0.2482 0.7367 0.5139
Ag3 0.7367 0.2482 0.5139
Pt1 0.4953 0.4953 0.0023
F1 0.9999 0.9999 0.3614
F2 0.1593 0.5415 0.7741
F3 0.3434 0.3434 0.1637
F4 0.4545 0.8277 0.2324
F5 0.5415 0.1593 0.7741
F6 0.6369 0.6369 0.8249
F7 0.8277 0.4545 0.2324
```

As for the uncorrected energy: -40.8 eV/cell. The calculation puts the uncorrected formation energy at -1188 meV per atom.